Record 1
## Np2Tc (PBE)

Data for a relaxed structure of Np2Tc.

a = 3.2613 Å, b = 3.2613 Å, c = 5.3757 Å
α = 107.66°, β = 107.66°, γ = 90.00°
Atoms (fractional coordinates):
Tc1 0.0000 0.0000 0.0000
Np1 0.3133 0.3133 0.6267
Np2 0.6867 0.6867 0.3733

## Properties
Calculated total energy: -36.16 eV for the cell shown
Space group: I4/mmm
E above lowest polymorph: 0.03 eV per formula unit
ΔE_f: 0.028 eV per atom
Crystal system: tetragonal

Record 2
## NpTc (PBE)

Data for a relaxed structure of NpTc.

a = 2.9283 Å, b = 5.1624 Å, c = 4.8989 Å
α = 68.78°, β = 90.00°, γ = 90.00°
Each line ends with the local moment (μB).
Atoms (fractional coordinates):
Np1 0.2500 0.9999 0.2500  1.74
Tc1 0.2500 0.5000 0.2500  -0.18
Np2 0.7500 0.0001 0.7500  1.74
Tc2 0.7500 0.5000 0.7500  -0.18

## Properties
Calculated total energy: -45.76 eV for the cell shown
Space group: C2/m
N(E_F): 1.830 states/eV per atom
E above lowest polymorph: 0.30 eV per formula unit
ΔE_f: 0.213 eV per atom
Crystal system: monoclinic

Record 3
## NpTc3 (PBE)

Data for a relaxed structure of NpTc3.

a = 4.5444 Å, b = 4.5444 Å, c = 4.5444 Å
α = 60.00°, β = 60.00°, γ = 60.00°
Each line ends with the local moment (μB).
Atoms (fractional coordinates):
Tc1 0.7500 0.7500 0.7500  0.04
Tc2 0.2500 0.2500 0.2500  0.04
Tc3 0.0000 0.0000 0.0000  0.33
Np1 0.5000 0.5000 0.5000  3.11

## Properties
Calculated total energy: -43.00 eV for the cell shown
Space group: Fm-3m
N(E_F): 2.011 states/eV per atom
E above lowest polymorph: 0.47 eV per formula unit
ΔE_f: 0.261 eV per atom
Crystal system: cubic

Record 4
## NpTc (PBE)

Data for a relaxed structure of NpTc.

a = 3.2247 Å, b = 3.2246 Å, c = 6.3769 Å
α = 90.00°, β = 90.03°, γ = 90.00°
Atoms (fractional coordinates):
Tc1 0.2502 0.7500 0.6210
Tc2 0.7498 0.2500 0.3790
Np1 0.7499 0.2500 0.9034
Np2 0.2501 0.7500 0.0966

## Properties
Calculated total energy: -46.37 eV for the cell shown
Space group: P4/nmm
N(E_F): 1.278 states/eV per atom
E above lowest polymorph: 0.00 eV per formula unit
ΔE_f: 0.060 eV per atom
Crystal system: tetragonal

Record 5
## NpTc4 (PBE)

Data for a relaxed structure of NpTc4.

a = 4.6734 Å, b = 4.6734 Å, c = 4.6734 Å
α = 90.00°, β = 90.00°, γ = 90.00°
Each line ends with the local moment (μB).
Atoms (fractional coordinates):
Tc1 0.0000 0.0000 0.0000  2.40
Tc2 0.0000 0.5000 0.5000  -0.73
Tc3 0.5000 0.0000 0.5000  -0.73
Tc4 0.5000 0.5000 0.0000  -0.73
Np1 0.5000 0.5000 0.5000  0.39

## Properties
Calculated total energy: -45.87 eV for the cell shown
Space group: Pm-3m
N(E_F): 1.364 states/eV per atom
ΔE_f: 1.706 eV per atom
Crystal system: cubic

Record 6
## NpTcTe2 (PBE)

Data for a relaxed structure of NpTcTe2.

a = 4.1286 Å, b = 4.1286 Å, c = 9.5345 Å
α = 77.50°, β = 77.50°, γ = 60.00°
Each line ends with the local moment (μB).
Atoms (fractional coordinates):
Tc1 0.0000 0.0000 0.0000  3.25
Np1 0.5000 0.5000 0.5000  4.08
Te1 0.0963 0.0963 0.7110  -0.07
Te2 0.9037 0.9037 0.2890  -0.07

## Properties
Calculated total energy: -27.31 eV for the cell shown
Space group: R-3m
N(E_F): 2.895 states/eV per atom
Formation energy without anion corrections: 0.57 eV/atom
Crystal system: trigonal